Here is a relaxed structure of Pu4H2N from Alexandria via LeMat-Bulk. Energies are from PBE-GGA.

Summary:
SG = I4/mmm, No. 139
calculated total energy = -74.12 eV/cell
magnetic moment = 23.4 μB per cell

a b c (Å): 6.668 6.668 6.668
angles (deg): 138.97 138.97 59.42
Sites, in units of the cell vectors:
Pu 0.000 0.500 0.500
Pu 0.226 0.226 0.000
Pu 0.500 0.000 0.500
Pu 0.774 0.774 0.000
H 0.420 0.420 0.000
H 0.580 0.580 0.000
N 0.000 0.000 0.000

***

Here is a relaxed structure of Pu2HN from Alexandria via LeMat-Bulk. Energies are from PBE-GGA.

Summary:
SG = R3m, No. 160
calculated total energy = -43.06 eV/cell
magnetic moment = 11.7 μB per cell

a b c (Å): 6.406 6.406 6.406
angles (deg): 31.15 31.15 31.15
Sites, in units of the cell vectors:
Pu 0.000 0.000 0.000
Pu 0.178 0.178 0.178
H 0.755 0.755 0.755
N 0.590 0.590 0.590